ZnCd4Pt | PBE | optimized geometry

Output
* electronic total energy: -2.0077 eV/atom
* symmetry: I422, No. 97
* ΔH_f (0 K): -1.071 eV/f.u.

Cell: 5.465 5.465 5.465 Å, 103.19 103.19 122.94°
Positions (direct):
Zn 0.000 0.000 0.000
Cd 0.092 0.908 0.500
Cd 0.408 0.592 0.500
Cd 0.592 0.092 0.184
Cd 0.908 0.408 0.816
Pt 0.500 0.500 0.000


Tc2BiBr | PBE | optimized geometry

Output
* electronic total energy: -5.3733 eV/atom
* uncorrected formation energy: 1.198 eV per atom
* symmetry: I-42d, No. 122

Cell: 6.956 6.956 6.956 Å, 128.49 128.49 75.84°
Positions (direct):
Tc 0.084 0.625 0.959
Tc 0.375 0.334 0.459
Tc 0.666 0.125 0.041
Tc 0.875 0.916 0.541
Bi 0.250 0.750 0.500
Bi 0.500 0.500 0.000
Br 0.000 0.000 0.000
Br 0.750 0.250 0.500


CoTc2Ru | PBE | optimized geometry

Output
* electronic total energy: -9.2209 eV/atom
* symmetry: I4/mmm, No. 139
* ΔH_f (0 K): 0.230 eV/f.u.

Cell: 4.619 4.619 4.619 Å, 131.87 131.87 70.43°
Positions (direct):
Co 0.000 0.000 0.000
Tc 0.250 0.750 0.500
Tc 0.750 0.250 0.500
Ru 0.500 0.500 0.000